Below is a relaxed structure of Th2AgAs, with properties calculated at the GGA-PBE level.

```
data_Th2AgAs
_chemical_formula_sum 'Th6 Ag3 As3'
_symmetry_space_group_name_H-M 'R -3 m'
_symmetry_Int_Tables_number 166
_symmetry_space_group_name_Hall '-R 3 2"'
_cell_length_a 3.8093
_cell_length_b 3.8093
_cell_length_c 29.8789
_cell_angle_alpha 90.00
_cell_angle_beta 90.00
_cell_angle_gamma 120.00
loop_
_atom_site_label
_atom_site_fract_x
_atom_site_fract_y
_atom_site_fract_z
Th1 0.0000 0.0000 0.1031
Ag1 0.0000 0.0000 0.0000
As1 0.0000 0.0000 0.5000
```

Output
The density of states at the Fermi level is 1.259 states/eV per atom. The energy of formation comes out at -0.07 eV per atom. For the magnetization, the calculation gives 0.54 μB per formula unit. The calculated density comes out at 8.582 g/cm3. The calculation puts the total energy at -5.650 eV/atom.

Below is a relaxed structure of NbGaRu, with properties calculated at the GGA-PBE level.

```
data_NbGaRu
_chemical_formula_sum 'Nb2 Ga2 Ru2'
_symmetry_space_group_name_H-M 'I 4 m m'
_symmetry_Int_Tables_number 107
_symmetry_space_group_name_Hall 'I 4 -2'
_cell_length_a 3.1132
_cell_length_b 3.1132
_cell_length_c 9.6502
_cell_angle_alpha 90.00
_cell_angle_beta 90.00
_cell_angle_gamma 90.00
loop_
_atom_site_label
_atom_site_fract_x
_atom_site_fract_y
_atom_site_fract_z
Nb1 0.0000 0.0000 0.0000
Ga1 0.0000 0.0000 0.3157
Ru1 0.0000 0.0000 0.6615
```

Output
The density of states at the Fermi level is 0.602 states/eV per atom. The energy of formation comes out at -0.34 eV per atom. For the magnetization, the calculation gives 0.00 μB per formula unit. The calculated density comes out at 9.364 g/cm3. The calculation puts the total energy at -7.797 eV/atom.

Below is a relaxed structure of KTcAu, with properties calculated at the GGA-PBE level.

```
data_KTcAu
_chemical_formula_sum 'K4 Tc4 Au4'
_symmetry_space_group_name_H-M 'F -4 3 m'
_symmetry_Int_Tables_number 216
_symmetry_space_group_name_Hall 'F -4 2 3'
_cell_length_a 7.0559
_cell_length_b 7.0559
_cell_length_c 7.0559
_cell_angle_alpha 90.00
_cell_angle_beta 90.00
_cell_angle_gamma 90.00
loop_
_atom_site_label
_atom_site_fract_x
_atom_site_fract_y
_atom_site_fract_z
K1 0.0000 0.0000 0.0000
Tc1 0.2500 0.2500 0.2500
Au1 0.2500 0.2500 0.7500
```

Output
The density of states at the Fermi level is 1.193 states/eV per atom. The energy of formation comes out at 1.81 eV per atom. As for the energy above the most stable polymorph in this dataset: 1.147 eV per atom. For the magnetization, the calculation gives 3.98 μB per formula unit. The calculated density comes out at 6.316 g/cm3. The calculation puts the total energy at -3.104 eV/atom.

Below is a relaxed structure of PaTl2CuTe4, with properties calculated at the GGA-PBE level.

```
data_PaTl2CuTe4
_chemical_formula_sum 'Pa2 Tl4 Cu2 Te8'
_symmetry_space_group_name_H-M 'I -4 2 m'
_symmetry_Int_Tables_number 121
_symmetry_space_group_name_Hall 'I -4 2'
_cell_length_a 8.2433
_cell_length_b 8.2433
_cell_length_c 7.2635
_cell_angle_alpha 90.00
_cell_angle_beta 90.00
_cell_angle_gamma 90.00
loop_
_atom_site_label
_atom_site_fract_x
_atom_site_fract_y
_atom_site_fract_z
Pa1 0.0000 0.0000 0.0000
Tl1 0.0000 0.5000 0.0000
Cu1 0.0000 0.0000 0.5000
Te1 0.1820 0.1820 0.2822
```

Output
The density of states at the Fermi level is 0.032 states/eV per atom. For the magnetization, the calculation gives 0.13 μB per formula unit. The formation energy from raw total energies is -0.362 eV per atom. The calculated density comes out at 8.167 g/cm3. The calculation puts the total energy at -4.224 eV/atom.

Below is a relaxed structure of Nb2CoSiNi, with properties calculated at the GGA-PBE level.

```
data_Nb2CoSiNi
_chemical_formula_sum 'Nb2 Co1 Si1 Ni1'
_symmetry_space_group_name_H-M 'P 4/m m m'
_symmetry_Int_Tables_number 123
_symmetry_space_group_name_Hall '-P 4 2'
_cell_length_a 4.5418
_cell_length_b 4.5418
_cell_length_c 4.2422
_cell_angle_alpha 90.00
_cell_angle_beta 90.00
_cell_angle_gamma 90.00
loop_
_atom_site_label
_atom_site_fract_x
_atom_site_fract_y
_atom_site_fract_z
Nb1 0.0000 0.5000 0.0000
Co1 0.0000 0.0000 0.5000
Si1 0.5000 0.5000 0.5000
Ni1 0.0000 0.0000 0.0000
```

Output
The density of states at the Fermi level is 1.372 states/eV per atom. For the magnetization, the calculation gives 1.49 μB per formula unit. The formation energy from raw total energies is 0.837 eV per atom. The calculated density comes out at 6.291 g/cm3. The calculation puts the total energy at -6.853 eV/atom.

Below is a relaxed structure of AcLa4Nd2Sm, with properties calculated at the GGA-PBE level.

```
data_AcLa4Nd2Sm
_chemical_formula_sum 'Ac2 La8 Nd4 Sm2'
_symmetry_space_group_name_H-M 'C 1 2/m 1'
_symmetry_Int_Tables_number 12
_symmetry_space_group_name_Hall '-C 2y'
_cell_length_a 11.8236
_cell_length_b 5.2838
_cell_length_c 10.6375
_cell_angle_alpha 90.00
_cell_angle_beta 116.76
_cell_angle_gamma 90.00
loop_
_atom_site_label
_atom_site_fract_x
_atom_site_fract_y
_atom_site_fract_z
Ac1 0.0000 0.0000 0.0000
La1 0.2469 0.0000 0.8699
La2 0.2487 0.5000 0.6226
Nd1 0.0008 0.5000 0.7446
Sm1 0.0000 0.0000 0.5000
```

Output
The density of states at the Fermi level is 1.904 states/eV per atom. The energy of formation comes out at 0.02 eV per atom. For the magnetization, the calculation gives 0.00 μB per formula unit. The calculated density comes out at 6.836 g/cm3. The calculation puts the total energy at -4.736 eV/atom.